[1]
Density functional theory data (PBE-GGA) for Mg3Cd6Ga2 after structural relaxation.

Summary:
- calculated volume (A^3/atom) = 21.45
- D(E_F) (states/eV/f.u.) = 3.4
- formation energy (eV per atom) = -0.045

Cell lengths 5.588, 6.856, 7.050 Å; angles 109.51, 106.65, 97.67 degrees
Space group P-1 (No. 2)
Inequivalent atoms, fractional coordinates:
Mg 0.000 0.000 0.000 [1 per cell]
Mg 0.091 0.806 0.369 [2 per cell]
Cd 0.269 0.451 0.090 [2 per cell]
Cd 0.359 0.272 0.456 [2 per cell]
Cd 0.452 0.091 0.821 [2 per cell]
Ga 0.173 0.637 0.720 [2 per cell]

[2]
Density functional theory data (PBE-GGA) for RbDy2AgBr8 after structural relaxation.

Summary:
- calculated volume (A^3/atom) = 37.28
- raw formation energy (eV per atom) = -1.5547
- D(E_F) (states/eV/f.u.) = 0.0

Cell lengths 7.173, 7.291, 8.645 Å; angles 90.07, 90.00, 98.40 degrees
Space group P-1 (No. 2)
Inequivalent atoms, fractional coordinates:
Rb 0.000 0.000 0.000 [1 per cell]
Dy 0.500 0.500 0.259 [2 per cell]
Ag 0.000 0.000 0.500 [1 per cell]
Br 0.272 0.160 0.717 [2 per cell]
Br 0.274 0.160 0.282 [2 per cell]
Br 0.278 0.623 0.500 [2 per cell]
Br 0.290 0.616 0.000 [2 per cell]

[3]
Density functional theory data (PBE-GGA) for InRe2HgSb after structural relaxation.

Summary:
- calculated volume (A^3/atom) = 26.31
- raw formation energy (eV per atom) = 2.2364
- D(E_F) (states/eV/f.u.) = 6.0

Cell lengths 5.079, 5.079, 5.100 Å; angles 90.00, 90.00, 90.00 degrees
Space group P4/mmm (No. 123)
Inequivalent atoms, fractional coordinates:
In 0.000 0.000 0.000 [1 per cell]
Re 0.000 0.500 0.000 [2 per cell]
Hg 0.000 0.000 0.500 [1 per cell]
Sb 0.500 0.500 0.500 [1 per cell]

[4]
Density functional theory data (PBE-GGA) for Hg2Ir after structural relaxation.

Summary:
- calculated volume (A^3/atom) = 19.24
- D(E_F) (states/eV/f.u.) = 1.8
- formation energy (eV per atom) = 0.517

Cell lengths 3.0162, 3.0162, 7.3265 Å; angles 90.00, 90.00, 120.00 degrees
Space group P-3m1 (No. 164)
Inequivalent atoms, fractional coordinates:
Hg 0.3333 0.6667 0.1867 [2 per cell]
Ir 0.0000 0.0000 0.5000 [1 per cell]

[5]
Density functional theory data (PBE-GGA) for ScZn2Mo after structural relaxation.

Summary:
- calculated volume (A^3/atom) = 16.25
- polymorph energy (0 for the lowest one) (eV/f.u.) = 0.000
- D(E_F) (states/eV/f.u.) = 1.2
- formation energy (eV per atom) = -0.072

Cell lengths 4.080, 4.080, 3.904 Å; angles 90.00, 90.00, 90.00 degrees
Space group P4/mmm (No. 123)
Inequivalent atoms, fractional coordinates:
Sc 0.000 0.000 0.000 [1 per cell]
Zn 0.000 0.500 0.500 [2 per cell]
Mo 0.500 0.500 0.000 [1 per cell]

[6]
Density functional theory data (PBE-GGA) for ThMgRh after structural relaxation.

Summary:
- calculated volume (A^3/atom) = 22.66
- D(E_F) (states/eV/f.u.) = 2.4
- formation energy (eV per atom) = -0.595

Cell lengths 13.416, 3.978, 7.643 Å; angles 90.00, 90.00, 90.00 degrees
Space group Pmma (No. 51)
Inequivalent atoms, fractional coordinates:
Th 0.044 0.000 0.224 [4 per cell]
Th 0.250 0.000 0.853 [2 per cell]
Mg 0.127 0.500 0.561 [4 per cell]
Mg 0.250 0.500 0.212 [2 per cell]
Rh 0.101 0.500 0.936 [4 per cell]
Rh 0.250 0.000 0.447 [2 per cell]

[7]
Density functional theory data (PBE-GGA) for Zr2NbBi2 after structural relaxation.

Summary:
- calculated volume (A^3/atom) = 23.63
- D(E_F) (states/eV/f.u.) = 3.2
- formation energy (eV per atom) = -0.020

Cell lengths 7.706, 7.706, 3.980 Å; angles 90.00, 90.00, 90.00 degrees
Space group P4/mbm (No. 127)
Inequivalent atoms, fractional coordinates:
Zr 0.152 0.348 0.000 [4 per cell]
Nb 0.000 0.000 0.500 [2 per cell]
Bi 0.150 0.650 0.500 [4 per cell]

[8]
Density functional theory data (PBE-GGA) for SbSe2BrN after structural relaxation.

Summary:
- calculated volume (A^3/atom) = 32.54
- polymorph energy (0 for the lowest one) (eV/f.u.) = 2.033
- raw formation energy (eV per atom) = 1.2268
- D(E_F) (states/eV/f.u.) = 6.4

Cell lengths 5.353, 5.353, 5.679 Å; angles 90.00, 90.00, 90.00 degrees
Space group P4/mmm (No. 123)
Inequivalent atoms, fractional coordinates:
Sb 0.000 0.000 0.000 [1 per cell]
Se 0.000 0.500 0.000 [2 per cell]
Br 0.000 0.000 0.500 [1 per cell]
N 0.500 0.500 0.500 [1 per cell]

Question: Look up the calculated volume of the fourth one.
Answer: 19.24 A^3/atom

Question: The lowest calculated volume belongs to which entry?
Answer: ScZn2Mo